Entry 1:
The following is a PBE calculation of a relaxed structure of AlSbN2F, from Alexandria.

a = 3.9493 Å, b = 3.9493 Å, c = 3.6049 Å
α = 90.00°, β = 90.00°, γ = 90.00°
Element x y z (fractional)
Al: 0.0000 0.0000 0.0000
Sb: 0.5000 0.5000 0.5000
N: 0.0000 0.5000 0.0000
N: 0.5000 0.0000 0.0000
F: 0.0000 0.0000 0.5000

Computed properties:
Fermi-level density of states = 0.39 states/eV per atom
excess energy over the best structure of this formula in the dataset = 0 meV per atom
formation energy (no corrections) = -0.445 eV/atom
total DFT energy (no corrections) = -5.722 eV per atom



Entry 2:
The following is a PBE calculation of a relaxed structure of MgCrPd, from Alexandria.

a = 2.8886 Å, b = 4.7184 Å, c = 7.0119 Å
α = 81.86°, β = 78.17°, γ = 89.96°
Element x y z (fractional)
Mg: 0.0000 0.0000 0.0000
Mg: 0.1431 0.5765 0.7124
Cr: 0.6924 0.1097 0.6133
Cr: 0.8081 0.3898 0.3862
Pd: 0.3276 0.8795 0.3451
Pd: 0.4743 0.4788 0.0518

Computed properties:
Fermi-level density of states = 0.69 states/eV per atom
energy of formation from the pure elements = -19 meV/atom
total DFT energy (no corrections) = -5.490 eV per atom



Entry 3:
The following is a PBE calculation of a relaxed structure of Sc5Ti3Pt12, from Alexandria.

a = 13.0924 Å, b = 13.0924 Å, c = 13.0924 Å
α = 109.47°, β = 109.47°, γ = 109.47°
Element x y z (fractional)
Sc: 0.0000 0.0000 0.0000
Sc: 0.0000 0.0000 0.5000
Sc: 0.0000 0.5000 0.0000
Sc: 0.0000 0.5000 0.5000
Sc: 0.1250 0.7500 0.8750
Sc: 0.1250 0.8750 0.2500
Sc: 0.2500 0.1250 0.8750
Sc: 0.2500 0.6250 0.3750
Sc: 0.3750 0.2500 0.6250
Sc: 0.3750 0.6250 0.7500
Sc: 0.5000 0.0000 0.0000
Sc: 0.5000 0.0000 0.5000
Sc: 0.5000 0.5000 0.0000
Sc: 0.5000 0.5000 0.5000
Sc: 0.6250 0.3750 0.2500
Sc: 0.6250 0.7500 0.3750
Sc: 0.7500 0.3750 0.6250
Sc: 0.7500 0.8750 0.1250
Sc: 0.8750 0.1250 0.7500
Sc: 0.8750 0.2500 0.1250
Ti: 0.1250 0.2500 0.3750
Ti: 0.1250 0.3750 0.7500
Ti: 0.2500 0.3750 0.1250
Ti: 0.2500 0.8750 0.6250
Ti: 0.3750 0.1250 0.2500
Ti: 0.3750 0.7500 0.1250
Ti: 0.6250 0.2500 0.8750
Ti: 0.6250 0.8750 0.7500
Ti: 0.7500 0.1250 0.3750
Ti: 0.7500 0.6250 0.8750
Ti: 0.8750 0.6250 0.2500
Ti: 0.8750 0.7500 0.6250
Pt: 0.0685 0.6393 0.4049
Pt: 0.0685 0.9292 0.6636
Pt: 0.0708 0.2344 0.1393
Pt: 0.0708 0.3364 0.9315
Pt: 0.0951 0.7343 0.6636
Pt: 0.0951 0.8607 0.4315
Pt: 0.1393 0.0708 0.2344
Pt: 0.1393 0.5685 0.9049
Pt: 0.1636 0.2344 0.5951
Pt: 0.1636 0.4292 0.5685
Pt: 0.2344 0.1393 0.0708
Pt: 0.2344 0.5951 0.1636
Pt: 0.2656 0.3364 0.9049
Pt: 0.2656 0.4292 0.3607
Pt: 0.3364 0.9049 0.2656
Pt: 0.3364 0.9315 0.0708
Pt: 0.3607 0.2656 0.4292
Pt: 0.3607 0.5951 0.9315
Pt: 0.4049 0.0685 0.6393
Pt: 0.4049 0.8364 0.7657
Pt: 0.4292 0.3607 0.2656
Pt: 0.4292 0.5685 0.1636
Pt: 0.4315 0.0951 0.8607
Pt: 0.4315 0.8364 0.5708
Pt: 0.5685 0.1636 0.4292
Pt: 0.5685 0.9049 0.1393
Pt: 0.5708 0.4315 0.8364
Pt: 0.5708 0.6393 0.7343
Pt: 0.5951 0.1636 0.2344
Pt: 0.5951 0.9315 0.3607
Pt: 0.6393 0.4049 0.0685
Pt: 0.6393 0.7343 0.5708
Pt: 0.6636 0.0685 0.9292
Pt: 0.6636 0.0951 0.7343
Pt: 0.7343 0.5708 0.6393
Pt: 0.7343 0.6636 0.0951
Pt: 0.7657 0.4049 0.8364
Pt: 0.7657 0.8607 0.9292
Pt: 0.8364 0.5708 0.4315
Pt: 0.8364 0.7657 0.4049
Pt: 0.8607 0.4315 0.0951
Pt: 0.8607 0.9292 0.7657
Pt: 0.9049 0.1393 0.5685
Pt: 0.9049 0.2656 0.3364
Pt: 0.9292 0.6636 0.0685
Pt: 0.9292 0.7657 0.8607
Pt: 0.9315 0.0708 0.3364
Pt: 0.9315 0.3607 0.5951

Computed properties:
Fermi-level density of states = 0.85 states/eV per atom
energy of formation from the pure elements = -442 meV/atom
total DFT energy (no corrections) = -6.834 eV per atom



Entry 4:
The following is a PBE calculation of a relaxed structure of Pt2SCl3, from Alexandria.

a = 7.4002 Å, b = 7.4002 Å, c = 6.0304 Å
α = 90.00°, β = 90.00°, γ = 120.00°
Element x y z (fractional)
Pt: 0.0000 0.0000 0.0000
Pt: 0.0000 0.5000 0.0000
Pt: 0.5000 0.0000 0.0000
Pt: 0.5000 0.5000 0.0000
S: 0.3333 0.6667 0.8238
S: 0.6667 0.3333 0.1762
Cl: 0.1632 0.3264 0.2322
Cl: 0.1632 0.8368 0.2322
Cl: 0.3264 0.1632 0.7678
Cl: 0.6736 0.8368 0.2322
Cl: 0.8368 0.1632 0.7678
Cl: 0.8368 0.6736 0.7678

Computed properties:
Fermi-level density of states = 0.42 states/eV per atom
formation energy (no corrections) = -0.068 eV/atom
total DFT energy (no corrections) = -3.693 eV per atom



Entry 5:
The following is a PBE calculation of a relaxed structure of SiPCl4, from Alexandria.

a = 5.8769 Å, b = 5.8769 Å, c = 5.8769 Å
α = 60.00°, β = 60.00°, γ = 60.00°
Element x y z (fractional)
Si: 0.0000 0.0000 0.0000
P: 0.2500 0.2500 0.2500
Cl: 0.1235 0.6255 0.6255
Cl: 0.6255 0.1235 0.6255
Cl: 0.6255 0.6255 0.1235
Cl: 0.6255 0.6255 0.6255

Computed properties:
Fermi-level density of states = 0.87 states/eV per atom
formation energy (no corrections) = 1.148 eV/atom
total DFT energy (no corrections) = -1.889 eV per atom



Entry 6:
The following is a PBE calculation of a relaxed structure of Ac4PSe2I, from Alexandria.

a = 7.7583 Å, b = 4.4967 Å, c = 7.9868 Å
α = 90.00°, β = 109.14°, γ = 90.00°
Element x y z (fractional)
Ac: 0.2373 0.0000 0.2177
Ac: 0.2557 0.5000 0.7774
Ac: 0.7443 0.5000 0.2226
Ac: 0.7627 0.0000 0.7823
P: 0.5000 0.0000 0.0000
Se: 0.0000 0.0000 0.5000
Se: 0.0000 0.5000 0.0000
I: 0.5000 0.5000 0.5000

Computed properties:
Fermi-level density of states = 0.47 states/eV per atom
formation energy (no corrections) = -1.532 eV/atom
total DFT energy (no corrections) = -5.327 eV per atom



Entry 7:
The following is a PBE calculation of a relaxed structure of BaSr2Cu, from Alexandria.

a = 8.4229 Å, b = 8.4229 Å, c = 8.4229 Å
α = 90.00°, β = 90.00°, γ = 90.00°
Element x y z (fractional)
Ba: 0.0000 0.0000 0.0000
Ba: 0.0000 0.5000 0.5000
Ba: 0.5000 0.0000 0.5000
Ba: 0.5000 0.5000 0.0000
Sr: 0.2500 0.2500 0.2500
Sr: 0.2500 0.2500 0.7500
Sr: 0.2500 0.7500 0.2500
Sr: 0.2500 0.7500 0.7500
Sr: 0.7500 0.2500 0.2500
Sr: 0.7500 0.2500 0.7500
Sr: 0.7500 0.7500 0.2500
Sr: 0.7500 0.7500 0.7500
Cu: 0.0000 0.0000 0.5000
Cu: 0.0000 0.5000 0.0000
Cu: 0.5000 0.0000 0.0000
Cu: 0.5000 0.5000 0.5000

Computed properties:
Fermi-level density of states = 1.19 states/eV per atom
excess energy over the best structure of this formula in the dataset = 315 meV per atom
energy of formation from the pure elements = 313 meV/atom
total DFT energy (no corrections) = -2.032 eV per atom



Entry 8:
The following is a PBE calculation of a relaxed structure of Tm2PaPd9, from Alexandria.

a = 4.1130 Å, b = 4.1130 Å, c = 12.3067 Å
α = 90.00°, β = 90.00°, γ = 90.00°
Element x y z (fractional)
Tm: 0.0000 0.0000 0.1603
Tm: 0.0000 0.0000 0.8397
Pa: 0.0000 0.0000 0.5000
Pd: 0.0000 0.5000 0.0000
Pd: 0.0000 0.5000 0.3367
Pd: 0.0000 0.5000 0.6633
Pd: 0.5000 0.0000 0.0000
Pd: 0.5000 0.0000 0.3367
Pd: 0.5000 0.0000 0.6633
Pd: 0.5000 0.5000 0.1679
Pd: 0.5000 0.5000 0.5000
Pd: 0.5000 0.5000 0.8321

Computed properties:
Fermi-level density of states = 0.13 states/eV per atom
energy of formation from the pure elements = -929 meV/atom
total DFT energy (no corrections) = -6.360 eV per atom



Entry 9:
The following is a PBE calculation of a relaxed structure of CeTlCd4, from Alexandria.

a = 9.5677 Å, b = 9.5677 Å, c = 5.1018 Å
α = 90.00°, β = 90.00°, γ = 138.97°
Element x y z (fractional)
Ce: 0.1212 0.8788 0.7500
Ce: 0.8788 0.1212 0.2500
Tl: 0.3772 0.6228 0.2500
Tl: 0.6228 0.3772 0.7500
Cd: 0.0320 0.4500 0.7500
Cd: 0.1986 0.2839 0.7500
Cd: 0.2839 0.1986 0.2500
Cd: 0.4500 0.0320 0.2500
Cd: 0.5500 0.9680 0.7500
Cd: 0.7161 0.8014 0.7500
Cd: 0.8014 0.7161 0.2500
Cd: 0.9680 0.5500 0.2500

Computed properties:
Fermi-level density of states = 1.60 states/eV per atom
excess energy over the best structure of this formula in the dataset = 0 meV per atom
energy of formation from the pure elements = -144 meV/atom
total DFT energy (no corrections) = -2.137 eV per atom



Entry 10:
The following is a PBE calculation of a relaxed structure of Cu6As7, from Alexandria.

a = 9.0739 Å, b = 9.0739 Å, c = 9.0739 Å
α = 36.72°, β = 36.72°, γ = 36.72°
Element x y z (fractional)
Cu: 0.0811 0.0811 0.0811
Cu: 0.1784 0.1784 0.1784
Cu: 0.3333 0.3333 0.3333
Cu: 0.6667 0.6667 0.6667
Cu: 0.8216 0.8216 0.8216
Cu: 0.9189 0.9189 0.9189
As: 0.0761 0.5787 0.5787
As: 0.4213 0.4213 0.9239
As: 0.4213 0.9239 0.4213
As: 0.5000 0.5000 0.5000
As: 0.5787 0.0761 0.5787
As: 0.5787 0.5787 0.0761
As: 0.9239 0.4213 0.4213

Computed properties:
Fermi-level density of states = 0.42 states/eV per atom
energy of formation from the pure elements = 427 meV/atom
total DFT energy (no corrections) = -3.967 eV per atom



- Which value of total DFT energy (no corrections) does entry 8 give?
  -6.360 eV per atom